Entry w
Density functional theory data (PBE) for an optimized crystal structure of HgSbW2.

Cell and atoms, written as POSCAR:
```
HgSbW2
1.0
-1.619 -9.348 -1.612
1.236 -9.541 -0.205
-1.409 -9.389 1.570
W Hg Sb
2 1 1
Cartesian
-0.468 -7.389 -0.064
-1.776 -28.017 -0.244
-0.912 -14.383 -0.125
-1.325 -20.907 -0.182
```

Computed properties:
V = 20.80 Å³/atom

***

Entry x
Density functional theory data (PBE) for an optimized crystal structure of HgSbW2.

Cell and atoms, written as POSCAR:
```
HgSbW2
1.0
-0.487 5.456 0.083
-0.469 -2.327 -4.937
-2.910 0.318 -0.503
Sb W Hg
1 2 1
Cartesian
-1.690 -1.005 -2.720
0.000 0.000 0.000
-0.478 1.564 -2.427
-1.699 2.887 -0.210
```

Computed properties:
V = 18.80 Å³/atom

***

Entry y
Density functional theory data (PBE) for an optimized crystal structure of HgSbW2.

Cell and atoms, written as POSCAR:
```
HgSbW2
1.0
-1.874 4.763 -0.762
-4.028 0.887 3.126
4.781 -1.775 0.878
W Hg Sb
2 1 1
Cartesian
0.000 0.000 0.000
-1.099 0.968 2.593
-2.951 2.825 1.182
-0.022 2.907 0.649
```

Computed properties:
V = 18.49 Å³/atom

***

Entry z
Density functional theory data (PBE) for an optimized crystal structure of HgSbW2.

Cell and atoms, written as POSCAR:
```
HgSbW2
1.0
3.143 0.000 0.000
0.000 4.036 0.000
0.000 0.000 6.137
W Sb Hg
2 1 1
Cartesian
0.000 0.000 3.341
0.000 0.000 5.864
1.572 2.018 4.603
1.572 2.018 1.534
```

Computed properties:
V = 19.46 Å³/atom

***

Result of the stability comparison: entry z is the least stable of them.

***

Entry w
Density functional theory data (PBE) for an optimized crystal structure of HgSbW2.

Cell and atoms, written as POSCAR:
```
HgSbW2
1.0
-0.399 5.211 1.168
-1.345 3.528 3.797
4.160 1.522 2.471
Hg Sb W
1 1 2
Cartesian
0.942 5.218 3.678
2.027 7.647 5.623
2.423 9.936 7.230
0.648 2.853 2.059
```

Computed properties:
V = 19.73 Å³/atom

***

Entry x
Density functional theory data (PBE) for an optimized crystal structure of HgSbW2.

Cell and atoms, written as POSCAR:
```
HgSbW2
1.0
1.142 -2.965 3.446
-2.933 -3.460 1.184
1.095 -4.447 -1.001
W Sb Hg
2 1 1
Cartesian
-0.174 -2.718 0.907
-0.522 -8.154 2.722
0.000 0.000 0.000
-0.348 -5.436 1.814
```

Computed properties:
V = 18.21 Å³/atom

***

Result of the stability comparison: entry x is the least stable of them.

***

Entry w
Density functional theory data (PBE) for an optimized crystal structure of HgSb3W.

Cell and atoms, written as POSCAR:
```
HgSb3W
1.0
-2.416 -4.178 2.491
4.864 -2.052 1.277
-0.041 2.799 4.654
Sb Hg W
3 1 1
Cartesian
2.432 -1.026 0.638
-0.020 1.399 2.327
-1.208 -2.089 1.245
0.000 0.000 0.000
1.203 -1.715 4.211
```

Computed properties:
V = 32.04 Å³/atom

***

Entry x
Density functional theory data (PBE) for an optimized crystal structure of HgSb3W.

Cell and atoms, written as POSCAR:
```
HgSb3W
1.0
-1.381 -4.236 2.858
5.110 -1.172 0.733
0.046 2.950 4.395
Hg W Sb
1 1 3
Cartesian
1.887 -1.229 3.993
0.000 0.000 0.000
2.555 -0.586 0.367
0.023 1.475 2.197
-0.691 -2.118 1.429
```

Computed properties:
V = 29.67 Å³/atom

***

Result of the stability comparison: entry w is the least stable of them.

***

Entry w
Density functional theory data (PBE) for an optimized crystal structure of YHgSb.

Cell and atoms, written as POSCAR:
```
YHgSb
1.0
-3.207 3.218 -2.357
-3.425 -1.798 -3.352
-4.979 -0.020 1.190
Y Hg Sb
1 1 1
Cartesian
-2.903 0.350 -1.130
0.000 0.000 0.000
-5.806 0.700 -2.260
```

Computed properties:
V = 31.61 Å³/atom

***

Entry x
Density functional theory data (PBE) for an optimized crystal structure of YHgSb.

Cell and atoms, written as POSCAR:
```
YHgSb
1.0
-2.742 -3.346 1.663
0.109 0.858 -4.554
3.320 -2.958 -0.478
Sb Hg Y
1 1 1
Cartesian
-0.781 -2.845 -0.555
0.010 -0.009 -0.001
1.458 -2.593 -2.812
```

Computed properties:
V = 27.74 Å³/atom

***

Entry y
Density functional theory data (PBE) for an optimized crystal structure of YHgSb.

Cell and atoms, written as POSCAR:
```
YHgSb
1.0
-0.549 4.639 1.857
-3.508 3.068 -1.892
-4.873 -0.915 7.556
Hg Y Sb
2 2 2
Cartesian
-3.341 4.700 4.856
-2.371 3.560 1.207
-4.900 0.592 7.776
-4.508 5.720 1.985
-6.622 1.317 5.458
-6.419 4.708 3.890
```

Computed properties:
V = 31.28 Å³/atom

***

Entry z
Density functional theory data (PBE) for an optimized crystal structure of YHgSb.

Cell and atoms, written as POSCAR:
```
YHgSb
1.0
-1.836 2.241 2.154
-1.655 -1.578 -2.793
-1.875 -5.697 4.329
Hg Y Sb
1 1 1
Cartesian
-1.866 -5.669 4.308
-2.965 -4.105 1.743
-2.409 -0.957 1.968
```

Computed properties:
V = 27.82 Å³/atom

***

Result of the stability comparison: entry z is the least stable of them.

***

Entry w
Density functional theory data (PBE) for an optimized crystal structure of YHgSb2.

Cell and atoms, written as POSCAR:
```
YHgSb2
1.0
5.281 -0.705 0.626
1.971 -4.923 0.806
2.859 -2.408 -3.847
Y Sb Hg
1 2 1
Cartesian
0.000 0.000 0.000
2.528 -2.009 -0.604
7.583 -6.027 -1.811
5.056 -4.018 -1.207
```

Computed properties:
V = 27.28 Å³/atom

***

Entry x
Density functional theory data (PBE) for an optimized crystal structure of YHgSb2.

Cell and atoms, written as POSCAR:
```
YHgSb2
1.0
-3.403 -7.450 -1.209
7.506 -3.201 -1.403
2.367 -5.990 1.900
Sb Hg Y
4 2 2
Cartesian
5.482 -13.862 -0.882
-0.650 -6.670 -0.475
3.196 -8.437 0.468
4.911 -4.313 -0.534
0.508 -9.383 -0.308
0.000 0.000 0.000
5.962 -7.258 -0.404
2.051 -5.325 -1.306
```

Computed properties:
V = 28.19 Å³/atom

***

Entry y
Density functional theory data (PBE) for an optimized crystal structure of YHgSb2.

Cell and atoms, written as POSCAR:
```
YHgSb2
1.0
-0.805 1.461 -4.681
-4.342 -2.421 -0.009
-1.926 3.449 1.408
Hg Sb Y
1 2 1
Cartesian
-3.134 0.514 0.699
0.000 0.000 0.000
-2.574 -0.480 -2.345
-1.366 2.455 -1.636
```

Computed properties:
V = 25.90 Å³/atom

***

Entry z
Density functional theory data (PBE) for an optimized crystal structure of YHgSb2.

Cell and atoms, written as POSCAR:
```
YHgSb2
1.0
4.201 0.000 0.000
0.000 4.063 0.015
0.000 4.033 6.486
Hg Sb Y
1 2 1
Cartesian
2.100 6.072 4.876
0.000 4.048 3.098
0.000 4.063 0.168
2.100 2.024 1.625
```

Computed properties:
V = 27.61 Å³/atom

***

Result of the stability comparison: entry w is the least stable of them.

***

Entry w
Density functional theory data (PBE) for an optimized crystal structure of YHgSb2.

Cell and atoms, written as POSCAR:
```
YHgSb2
1.0
-6.988 8.477 -2.285
-8.894 6.841 0.181
-6.405 9.146 1.121
Y Sb Hg
1 2 1
Cartesian
-5.572 6.116 -0.246
-22.108 24.268 -0.975
-11.322 12.428 -0.499
-16.715 18.348 -0.737
```

Computed properties:
V = 29.61 Å³/atom

***

Entry x
Density functional theory data (PBE) for an optimized crystal structure of YHgSb2.

Cell and atoms, written as POSCAR:
```
YHgSb2
1.0
-2.005 3.634 1.536
-3.755 -2.105 0.080
-0.052 -2.305 5.385
Hg Sb Y
1 2 1
Cartesian
-3.196 -1.359 5.419
-1.755 0.611 2.637
-0.237 -2.117 4.698
-2.578 -2.422 2.364
```

Computed properties:
V = 27.24 Å³/atom

***

Entry y
Density functional theory data (PBE) for an optimized crystal structure of YHgSb2.

Cell and atoms, written as POSCAR:
```
YHgSb2
1.0
-3.098 1.283 7.754
0.507 -0.479 8.419
0.301 3.515 7.676
Y Sb Hg
1 2 1
Cartesian
-1.145 2.160 11.930
-0.575 1.085 5.991
-2.289 4.317 23.840
-1.715 3.235 17.864
```

Computed properties:
V = 29.06 Å³/atom

***

Result of the stability comparison: entry y is the least stable of them.

***

Entry w
Density functional theory data (PBE) for an optimized crystal structure of YHgSb2.

Cell and atoms, written as POSCAR:
```
YHgSb2
1.0
6.271 0.015 -0.054
3.185 5.402 0.054
-4.697 -2.763 3.104
Sb Y Hg
2 1 1
Cartesian
3.162 -0.014 1.525
0.000 0.000 0.000
4.727 2.708 0.000
1.598 2.668 1.579
```

Computed properties:
V = 26.27 Å³/atom

***

Entry x
Density functional theory data (PBE) for an optimized crystal structure of YHgSb2.

Cell and atoms, written as POSCAR:
```
YHgSb2
1.0
-1.253 -2.393 -3.178
-0.068 -3.316 2.524
-6.018 1.226 1.449
Hg Sb Y
1 2 1
Cartesian
-5.347 -1.900 0.801
-5.739 1.169 1.381
-2.497 -2.480 0.115
-2.782 0.567 0.670
```

Computed properties:
V = 27.42 Å³/atom

***

Entry y
Density functional theory data (PBE) for an optimized crystal structure of YHgSb2.

Cell and atoms, written as POSCAR:
```
YHgSb2
1.0
6.063 -0.009 0.016
4.623 3.922 0.016
0.919 0.337 4.523
Hg Sb Y
1 2 1
Cartesian
2.979 1.091 0.857
0.219 0.080 0.293
8.606 3.152 3.026
5.602 2.052 2.658
```

Computed properties:
V = 26.92 Å³/atom

***

Entry z
Density functional theory data (PBE) for an optimized crystal structure of YHgSb2.

Cell and atoms, written as POSCAR:
```
YHgSb2
1.0
-0.047 0.951 -3.228
-3.068 -1.339 -0.350
-4.036 8.573 2.584
Sb Hg Y
2 1 1
Cartesian
-3.886 8.254 2.488
-2.729 2.295 -1.039
-4.521 6.102 0.108
-2.069 4.394 1.324
```

Computed properties:
V = 27.82 Å³/atom

***

Result of the stability comparison: entry z is the least stable of them.

***

Entry w
Density functional theory data (PBE) for an optimized crystal structure of Y2Hg2Sb.

Cell and atoms, written as POSCAR:
```
Y2Hg2Sb
1.0
8.010 0.000 0.000
0.000 8.010 0.000
0.000 0.000 4.458
Y Hg Sb
4 4 2
Cartesian
1.300 2.705 0.000
2.705 6.710 0.000
5.305 1.300 0.000
6.710 5.305 0.000
5.129 6.886 2.229
2.881 1.124 2.229
6.886 2.881 2.229
1.124 5.129 2.229
0.000 0.000 0.000
4.005 4.005 0.000
```

Computed properties:
V = 28.61 Å³/atom

***

Entry x
Density functional theory data (PBE) for an optimized crystal structure of Y2Hg2Sb.

Cell and atoms, written as POSCAR:
```
Y2Hg2Sb
1.0
-2.959 -5.297 -4.929
7.218 -2.534 -1.611
-0.282 -2.872 3.255
Y Sb Hg
4 2 4
Cartesian
3.877 -7.085 -3.009
0.100 -3.617 -0.276
4.188 -4.027 -0.283
-0.211 -6.676 -3.001
0.000 0.000 0.000
2.129 -3.915 -3.270
2.286 -1.626 -1.237
-0.926 -3.666 -3.315
1.972 -6.204 -5.303
5.184 -4.164 -3.225
```

Computed properties:
V = 26.58 Å³/atom

***

Result of the stability comparison: entry w is the least stable of them.

***

Entry w
Density functional theory data (PBE) for an optimized crystal structure of YHg3Sb.

Cell and atoms, written as POSCAR:
```
YHg3Sb
1.0
5.480 0.000 0.000
0.000 5.480 0.000
0.000 0.000 5.480
Hg Y Sb
3 1 1
Cartesian
0.000 0.000 2.740
2.740 0.000 0.000
0.000 2.740 0.000
2.740 2.740 2.740
0.000 0.000 0.000
```

Computed properties:
V = 32.92 Å³/atom

***

Entry x
Density functional theory data (PBE) for an optimized crystal structure of YHg3Sb.

Cell and atoms, written as POSCAR:
```
YHg3Sb
1.0
5.728 0.000 0.000
0.000 5.728 0.000
0.000 0.000 5.728
Hg Y Sb
3 1 1
Cartesian
2.864 0.000 0.000
0.000 0.000 2.864
0.000 2.864 0.000
0.000 0.000 0.000
2.864 2.864 2.864
```

Computed properties:
V = 37.58 Å³/atom

***

Result of the stability comparison: entry x is the least stable of them.